A geometry-optimized Ac4InNi2 structure, computed with PBE.

Structure (POSCAR):
```
Ac4InNi2
1.0
9.149 -2.267 -0.157
-2.920 8.961 0.193
-3.010 -3.416 5.780
Ac In Ni
8 2 4
direct
0.032 0.245 0.428
0.431 0.530 0.287
0.876 0.549 0.589
0.780 0.181 0.787
0.344 0.026 0.227
0.276 0.094 0.728
0.495 0.782 0.928
0.799 0.626 0.090
0.193 0.674 0.382
0.924 0.943 0.882
0.471 0.405 0.623
0.826 0.897 0.464
0.655 0.221 0.123
0.147 0.576 0.964
```

Energy above the lowest structure with this stoichiometry   0 meV per atom
Energy of formation from the pure elements   -1.600 eV per formula unit
Symmetry   Cc, No. 9
Crystal system   monoclinic
Theoretical density   8.66 g/cm3
Volume   31.23 Å³/atom

A geometry-optimized AcIn3Ni2 structure, computed with PBE.

Structure (POSCAR):
```
AcIn3Ni2
1.0
-3.947 0.592 1.778
-0.527 -7.145 -4.159
3.399 -0.885 7.840
Ac In Ni
2 6 4
direct
0.862 0.724 0.914
0.138 0.276 0.086
0.325 0.651 0.563
0.982 0.964 0.655
0.630 0.261 0.758
0.370 0.739 0.242
0.018 0.036 0.345
0.675 0.349 0.437
0.489 0.978 0.852
0.511 0.022 0.148
0.827 0.654 0.368
0.173 0.346 0.632
```

Energy above the lowest structure with this stoichiometry   28 meV per atom
Energy of formation from the pure elements   -1.567 eV per formula unit
Symmetry   C2/m, No. 12
Crystal system   monoclinic
Theoretical density   8.36 g/cm3
Volume   22.81 Å³/atom

A geometry-optimized Ac6InNi2 structure, computed with PBE.

Structure (POSCAR):
```
Ac6InNi2
1.0
8.792 -0.126 -3.008
-4.810 7.507 -2.621
0.091 0.126 9.292
Ac In Ni
12 2 4
direct
0.525 0.704 0.822
0.475 0.296 0.178
0.118 0.296 0.822
0.882 0.704 0.178
0.802 0.772 0.574
0.198 0.228 0.426
0.198 0.772 0.970
0.802 0.228 0.030
0.686 0.359 0.673
0.314 0.641 0.327
0.314 0.987 0.673
0.686 0.013 0.327
0.000 0.500 0.500
0.000 0.000 0.000
0.500 0.382 0.882
0.500 0.618 0.118
0.643 0.000 0.643
0.357 0.000 0.357
```

Energy of formation from the pure elements   -1.875 eV per formula unit
Symmetry   Immm, No. 71
Crystal system   orthorhombic
Theoretical density   8.62 g/cm3
Volume   34.14 Å³/atom

A geometry-optimized AcIn2Ni2 structure, computed with PBE.

Structure (POSCAR):
```
AcIn2Ni2
1.0
-1.144 2.500 -3.299
-4.743 -1.974 0.149
0.403 2.823 4.795
Ac In Ni
1 2 2
direct
0.000 0.000 0.000
0.344 0.415 0.688
0.656 0.585 0.312
0.734 0.124 0.468
0.266 0.876 0.532
```

Energy of formation from the pure elements   -1.867 eV per formula unit
Symmetry   C2/m, No. 12
Crystal system   monoclinic
Theoretical density   8.67 g/cm3
Volume   21.98 Å³/atom

A geometry-optimized Ac7In2Ni2 structure, computed with PBE.

Structure (POSCAR):
```
Ac7In2Ni2
1.0
4.035 0.000 0.865
1.117 9.086 4.632
-0.087 -0.527 10.245
Ac In Ni
7 2 2
direct
0.825 0.037 0.314
0.884 0.405 0.826
0.500 0.997 0.003
0.604 0.500 0.291
0.396 0.709 0.500
0.175 0.686 0.963
0.116 0.174 0.595
0.724 0.868 0.684
0.276 0.316 0.132
0.000 0.786 0.214
0.500 0.375 0.625
```

Energy of formation from the pure elements   -1.897 eV per formula unit
Symmetry   Imm2, No. 44
Crystal system   orthorhombic
Theoretical density   8.34 g/cm3
Volume   35.06 Å³/atom

A geometry-optimized AcIn12Ni4 structure, computed with PBE.

Structure (POSCAR):
```
AcIn12Ni4
1.0
8.212 0.000 0.000
-2.737 7.742 0.000
-2.737 -3.871 6.705
Ac In Ni
1 12 4
direct
0.000 0.000 0.000
0.814 0.329 0.143
0.329 0.515 0.186
0.857 0.186 0.671
0.329 0.143 0.814
0.143 0.814 0.329
0.671 0.485 0.814
0.515 0.186 0.329
0.485 0.814 0.671
0.671 0.857 0.186
0.814 0.671 0.485
0.186 0.329 0.515
0.186 0.671 0.857
0.000 0.500 0.000
0.500 0.000 0.000
0.500 0.500 0.500
0.000 0.000 0.500
```

Energy of formation from the pure elements   -0.940 eV per formula unit
Symmetry   Im-3, No. 204
Crystal system   cubic
Theoretical density   7.17 g/cm3
Volume   25.08 Å³/atom

Number 1: total magnetization 0.0 Bohr magnetons per cell, density of states at the Fermi level 12.91 states/eV per cell. Number 2: total magnetization 0.0 Bohr magnetons per cell, density of states at the Fermi level 7.31 states/eV per cell. Number 3: total magnetization 0.0 Bohr magnetons per cell, density of states at the Fermi level 18.09 states/eV per cell. Number 4: total magnetization 0.0 Bohr magnetons per cell, density of states at the Fermi level 3.66 states/eV per cell. Number 5: total magnetization 0.0 Bohr magnetons per cell, density of states at the Fermi level 11.58 states/eV per cell. Number 6: total magnetization 0.0 Bohr magnetons per cell, density of states at the Fermi level 12.12 states/eV per cell.